(i)
10
Lattice="-0.983 4.306 0.692 -4.542 -4.243 5.509 8.481 0.724 7.550" Properties=species:S:1:pos:R:3 comment="Ac2GeI2 (PBE, optimized geometry)" sg=Cmc2_1 total_magnetization_mub_per_atom=0.00 vol_a3_per_cell=407 pbc="T T T"
Ac -1.171 -0.879 3.810
Ac 7.250 0.481 7.309
Ac 2.270 1.508 8.289
Ac -1.683 0.528 8.766
Ge 6.210 2.200 9.584
Ge 0.614 -1.083 7.612
I -3.438 0.572 5.999
I 3.386 -0.930 10.599
I 4.321 0.038 5.907
I 1.007 1.839 4.432

***

(ii)
5
Lattice="4.600 0.000 0.851 2.221 4.028 0.851 0.133 0.078 12.144" Properties=species:S:1:pos:R:3 comment="Ac2GeI2 (PBE, optimized geometry)" sg=R-3m total_magnetization_mub_per_atom=0.00 vol_a3_per_cell=224 pbc="T T T"
Ac 4.233 2.500 2.832
Ac 2.720 1.606 11.014
Ge 0.000 0.000 0.000
I 1.577 0.931 4.333
I 5.376 3.175 9.513

***

Verdict on stability: (i) comes out at the bottom.

***

(i)
12
Lattice="-0.314 -3.623 -3.570 2.281 -3.497 6.986 -10.384 -1.634 2.573" Properties=species:S:1:pos:R:3 comment="Ac3Ge2I (PBE, optimized geometry)" sg=Cmcm total_magnetization_mub_per_atom=0.13 vol_a3_per_cell=426 pbc="T T T"
Ac -0.077 -3.195 -0.388
Ac -7.304 -2.435 3.115
Ac -4.379 -3.872 0.677
Ac -1.113 -6.319 2.874
Ac -8.340 -5.559 6.377
Ac -4.038 -4.882 5.311
Ge 0.000 0.000 0.000
Ge -5.192 -0.817 1.286
Ge -0.515 -5.610 5.739
Ge -7.902 -3.144 0.249
I -1.660 -2.749 2.936
I -6.758 -6.005 3.052

***

(ii)
6
Lattice="-1.828 3.380 -0.627 -3.396 -1.886 -0.266 -1.746 1.380 12.531" Properties=species:S:1:pos:R:3 comment="Ac3Ge2I (PBE, optimized geometry)" sg=P4/mmm total_magnetization_mub_per_atom=0.00 vol_a3_per_cell=193 pbc="T T T"
Ac 0.000 0.000 0.000
Ac -1.220 0.964 8.752
Ac -0.527 0.416 3.778
Ge -4.074 1.903 10.043
Ge -2.896 0.972 1.595
I -3.485 1.438 5.819

***

Verdict on stability: (i) comes out at the bottom.

***

(i)
6
Lattice="4.209 0.034 0.415 0.001 5.913 -0.500 -0.823 -3.782 8.632" Properties=species:S:1:pos:R:3 comment="AcGeI (PBE, optimized geometry)" sg=P2_1/m total_magnetization_mub_per_atom=0.00 vol_a3_per_cell=209 pbc="T T T"
Ge 2.760 0.330 4.294
Ge 0.627 1.835 4.253
Ac 0.830 4.598 1.967
Ac 2.557 -2.433 6.580
I 2.382 0.648 8.080
I 1.005 1.518 0.468

***

(ii)
6
Lattice="4.543 -0.037 0.133 2.236 3.955 0.133 0.008 0.005 12.564" Properties=species:S:1:pos:R:3 comment="AcGeI (PBE, optimized geometry)" sg=C2/m total_magnetization_mub_per_atom=0.00 vol_a3_per_cell=227 pbc="T T T"
Ac 6.734 3.892 8.657
Ac 0.053 0.031 4.173
Ge 4.520 2.613 6.573
Ge 2.267 1.311 6.258
I 4.621 2.671 2.185
I 2.167 1.252 10.646

***

(iii)
6
Lattice="4.945 0.000 0.000 2.472 4.219 -0.070 2.472 0.056 12.316" Properties=species:S:1:pos:R:3 comment="AcGeI (PBE, optimized geometry)" sg=C2/m total_magnetization_mub_per_atom=0.00 vol_a3_per_cell=257 pbc="T T T"
Ac 4.945 0.118 3.961
Ac 4.945 4.157 8.286
Ge 4.945 1.232 6.884
Ge 4.945 3.043 5.362
I 2.472 1.405 1.941
I 7.417 2.870 10.305

***

Verdict on stability: (i) comes out at the bottom.